Record 1
Here is a relaxed Zr4SnGeN2 crystal from OQMD via LeMat-Bulk. Energies are from PBE.

Cell lengths 3.296, 3.296, 14.209 Å; angles 90.00, 90.00, 120.00 degrees
Positions (direct):
Zr (0.000, 0.000, 0.152)
Zr (0.000, 0.000, 0.848)
Zr (0.667, 0.333, 0.330)
Zr (0.667, 0.333, 0.670)
Sn (0.000, 0.000, 0.500)
Ge (0.667, 0.333, 0.000)
N (0.333, 0.667, 0.241)
N (0.333, 0.667, 0.759)

The space group is P-6m2. Its raw total energy is -8.565 eV/atom.



Record 2
Here is a relaxed LuCdRe2 crystal from OQMD via LeMat-Bulk. Energies are from PBE.

Cell lengths 6.576, 6.576, 6.576 Å; angles 90.00, 90.00, 90.00 degrees
Positions (direct):
Lu (0.000, 0.000, 0.000)
Lu (0.000, 0.500, 0.500)
Lu (0.500, 0.000, 0.500)
Lu (0.500, 0.500, 0.000)
Cd (0.250, 0.250, 0.750)
Cd (0.250, 0.750, 0.250)
Cd (0.750, 0.250, 0.250)
Cd (0.750, 0.750, 0.750)
Re (0.000, 0.000, 0.500)
Re (0.000, 0.500, 0.000)
Re (0.250, 0.250, 0.250)
Re (0.250, 0.750, 0.750)
Re (0.500, 0.000, 0.000)
Re (0.500, 0.500, 0.500)
Re (0.750, 0.250, 0.750)
Re (0.750, 0.750, 0.250)

The calculation puts the formation energy at 0.3491 eV/atom. The space group is F-43m.



Record 3
Here is a relaxed ScFeSnPd crystal from OQMD via LeMat-Bulk. Energies are from PBE.

Cell lengths 6.435, 6.435, 6.435 Å; angles 90.00, 90.00, 90.00 degrees
Positions (direct):
Sc (0.000, 0.000, 0.000)
Sc (0.000, 0.500, 0.500)
Sc (0.500, 0.000, 0.500)
Sc (0.500, 0.500, 0.000)
Fe (0.250, 0.250, 0.750)
Fe (0.250, 0.750, 0.250)
Fe (0.750, 0.250, 0.250)
Fe (0.750, 0.750, 0.750)
Sn (0.000, 0.000, 0.500)
Sn (0.000, 0.500, 0.000)
Sn (0.500, 0.000, 0.000)
Sn (0.500, 0.500, 0.500)
Pd (0.250, 0.250, 0.250)
Pd (0.250, 0.750, 0.750)
Pd (0.750, 0.250, 0.750)
Pd (0.750, 0.750, 0.250)

The space group is F-43m. Its energy above the most stable polymorph in this dataset is 0 meV per atom.



Record 4
Here is a relaxed PrP2Pd2 crystal from OQMD via LeMat-Bulk. Energies are from PBE.

Cell lengths 4.192, 4.192, 9.979 Å; angles 90.00, 90.00, 90.00 degrees
Positions (direct):
Pr (0.000, 0.000, 0.000)
Pr (0.500, 0.500, 0.500)
P (0.000, 0.000, 0.386)
P (0.000, 0.000, 0.614)
P (0.500, 0.500, 0.114)
P (0.500, 0.500, 0.886)
Pd (0.000, 0.500, 0.250)
Pd (0.000, 0.500, 0.750)
Pd (0.500, 0.000, 0.250)
Pd (0.500, 0.000, 0.750)

The space group is I4/mmm. Its raw total energy is -6.155 eV/atom.



Record 5
Here is a relaxed LiCoAgSeS2 crystal from OQMD via LeMat-Bulk. Energies are from PBE.

Cell lengths 6.935, 6.935, 9.579 Å; angles 90.00, 90.00, 152.52 degrees
Positions (direct):
Li (0.197, 0.803, 0.750)
Li (0.803, 0.197, 0.250)
Co (0.500, 0.500, 0.000)
Co (0.500, 0.500, 0.500)
Ag (0.137, 0.863, 0.250)
Ag (0.863, 0.137, 0.750)
Se (0.451, 0.549, 0.250)
Se (0.549, 0.451, 0.750)
S (0.116, 0.884, 0.005)
S (0.116, 0.884, 0.495)
S (0.884, 0.116, 0.505)
S (0.884, 0.116, 0.995)

The space group is Cmcm. Its raw total energy is -4.206 eV/atom.



Record 6
Here is a relaxed Ho3Cu4Si2Ge2 crystal from OQMD via LeMat-Bulk. Energies are from PBE.

Cell lengths 7.911, 7.911, 7.911 Å; angles 149.75, 130.75, 58.90 degrees
Positions (direct):
Ho (0.000, 0.000, 0.000)
Ho (0.370, 0.870, 0.500)
Ho (0.630, 0.130, 0.500)
Cu (0.016, 0.326, 0.691)
Cu (0.365, 0.674, 0.691)
Cu (0.635, 0.326, 0.309)
Cu (0.984, 0.674, 0.309)
Si (0.216, 0.216, 0.000)
Si (0.784, 0.784, 0.000)
Ge (0.307, 0.500, 0.807)
Ge (0.693, 0.500, 0.193)

The space group is Immm. Its energy above the most stable polymorph in this dataset is 0 meV per atom.



Record 7
Here is a relaxed UNiOs crystal from OQMD via LeMat-Bulk. Energies are from PBE.

Cell lengths 6.156, 6.156, 6.156 Å; angles 90.00, 90.00, 90.00 degrees
Positions (direct):
U (0.000, 0.000, 0.000)
U (0.000, 0.500, 0.500)
U (0.500, 0.000, 0.500)
U (0.500, 0.500, 0.000)
Ni (0.250, 0.250, 0.750)
Ni (0.250, 0.750, 0.250)
Ni (0.750, 0.250, 0.250)
Ni (0.750, 0.750, 0.750)
Os (0.250, 0.250, 0.250)
Os (0.250, 0.750, 0.750)
Os (0.750, 0.250, 0.750)
Os (0.750, 0.750, 0.250)

The calculation puts the formation energy at 0.5168 eV/atom. The space group is F-43m. Its energy above the most stable polymorph in this dataset is 351 meV per atom.



Record 8
Here is a relaxed Zr3InB4 crystal from OQMD via LeMat-Bulk. Energies are from PBE.

Cell lengths 3.184, 3.546, 9.358 Å; angles 90.00, 90.00, 90.00 degrees
Positions (direct):
Zr (0.000, 0.000, 0.000)
Zr (0.500, 0.000, 0.292)
Zr (0.500, 0.000, 0.708)
In (0.000, 0.500, 0.500)
B (0.000, 0.500, 0.193)
B (0.000, 0.500, 0.807)
B (0.500, 0.500, 0.104)
B (0.500, 0.500, 0.896)

The space group is Pmmm. Its raw total energy is -7.611 eV/atom.



Record 9
Here is a relaxed Li2TcS3 crystal from OQMD via LeMat-Bulk. Energies are from PBE.

Cell lengths 6.196, 6.196, 6.311 Å; angles 99.41, 99.41, 119.98 degrees
Positions (direct):
Li (0.000, 0.000, 0.000)
Li (0.167, 0.833, 0.500)
Li (0.500, 0.500, 0.500)
Li (0.833, 0.167, 0.500)
Tc (0.333, 0.667, 0.000)
Tc (0.667, 0.333, 0.000)
S (0.076, 0.429, 0.231)
S (0.276, 0.276, 0.766)
S (0.429, 0.076, 0.231)
S (0.571, 0.924, 0.769)
S (0.724, 0.724, 0.234)
S (0.924, 0.571, 0.769)

The space group is C2/m. Its raw total energy is -5.208 eV/atom.



Record 10
Here is a relaxed ZrBeCoPb crystal from OQMD via LeMat-Bulk. Energies are from PBE.

Cell lengths 6.469, 6.469, 6.469 Å; angles 90.00, 90.00, 90.00 degrees
Positions (direct):
Zr (0.000, 0.000, 0.000)
Zr (0.000, 0.500, 0.500)
Zr (0.500, 0.000, 0.500)
Zr (0.500, 0.500, 0.000)
Be (0.250, 0.250, 0.750)
Be (0.250, 0.750, 0.250)
Be (0.750, 0.250, 0.250)
Be (0.750, 0.750, 0.750)
Co (0.000, 0.000, 0.500)
Co (0.000, 0.500, 0.000)
Co (0.500, 0.000, 0.000)
Co (0.500, 0.500, 0.500)
Pb (0.250, 0.250, 0.250)
Pb (0.250, 0.750, 0.750)
Pb (0.750, 0.250, 0.750)
Pb (0.750, 0.750, 0.250)

The space group is F-43m. Its energy above the most stable polymorph in this dataset is 240 meV per atom.



Record 11
Here is a relaxed PrPaIr crystal from OQMD via LeMat-Bulk. Energies are from PBE.

Cell lengths 6.887, 6.887, 6.887 Å; angles 90.00, 90.00, 90.00 degrees
Positions (direct):
Pr (0.000, 0.000, 0.000)
Pr (0.000, 0.500, 0.500)
Pr (0.500, 0.000, 0.500)
Pr (0.500, 0.500, 0.000)
Pa (0.000, 0.000, 0.500)
Pa (0.000, 0.500, 0.000)
Pa (0.500, 0.000, 0.000)
Pa (0.500, 0.500, 0.500)
Ir (0.250, 0.250, 0.250)
Ir (0.250, 0.750, 0.750)
Ir (0.750, 0.250, 0.750)
Ir (0.750, 0.750, 0.250)

The calculation puts the formation energy at -0.1939 eV/atom. The space group is F-43m. Its energy above the most stable polymorph in this dataset is 0 meV per atom.



Record 12
Here is a relaxed LiLuFeS3 crystal from OQMD via LeMat-Bulk. Energies are from PBE.

Cell lengths 6.324, 6.324, 10.225 Å; angles 90.00, 90.00, 145.34 degrees
Positions (direct):
Li (0.233, 0.767, 0.750)
Li (0.767, 0.233, 0.250)
Lu (0.000, 0.000, 0.000)
Lu (0.000, 0.000, 0.500)
Fe (0.478, 0.522, 0.250)
Fe (0.522, 0.478, 0.750)
S (0.091, 0.909, 0.250)
S (0.360, 0.640, 0.078)
S (0.360, 0.640, 0.422)
S (0.640, 0.360, 0.578)
S (0.640, 0.360, 0.922)
S (0.909, 0.091, 0.750)

The space group is Cmcm. Its energy above the most stable polymorph in this dataset is 79 meV per atom.